1.
{
  "formula": "Cu3Ag7",
  "functional": "PBE",
  "state": "relaxed",
  "crystal_system": "monoclinic",
  "lattice": [[4.940, 0.000, 0.000], [0.000, 2.875, 0.000], [-1.536, 0.000, 11.478]],
  "species": ["Cu", "Cu", "Cu", "Ag", "Ag", "Ag", "Ag", "Ag", "Ag", "Ag"],
  "frac_coords": [[0.497, 0.500, 0.999], [0.001, 0.000, 0.997], [0.201, 0.000, 0.604], [0.601, 0.000, 0.811], [0.801, 0.000, 0.399], [0.298, 0.500, 0.405], [0.896, 0.500, 0.186], [0.702, 0.500, 0.605], [0.395, 0.000, 0.188], [0.106, 0.500, 0.805]]
}

2.
{
  "formula": "Cu5Ag3",
  "functional": "PBE",
  "state": "relaxed",
  "crystal_system": "monoclinic",
  "lattice": [[-4.699, -0.049, -0.474], [-2.813, -0.874, -3.692], [2.848, -6.308, 3.286]],
  "species": ["Ag", "Ag", "Ag", "Cu", "Cu", "Cu", "Cu", "Cu"],
  "frac_coords": [[0.246, 0.246, 0.368], [0.255, 0.255, 0.884], [0.499, 0.499, 0.748], [0.755, 0.755, 0.131], [0.999, 0.999, 0.008], [0.501, 0.501, 0.252], [0.000, 0.000, 0.491], [0.745, 0.745, 0.617]]
}

3.
{
  "formula": "Cu5Ag3",
  "functional": "PBE",
  "state": "relaxed",
  "crystal_system": "orthorhombic",
  "lattice": [[-0.244, -0.688, 8.150], [-5.153, -1.720, 6.119], [3.412, -1.401, -7.304]],
  "species": ["Cu", "Cu", "Cu", "Cu", "Cu", "Ag", "Ag", "Ag"],
  "frac_coords": [[0.251, 0.251, 0.000], [0.367, 0.867, 0.500], [0.633, 0.133, 0.500], [0.000, 0.000, 0.000], [0.749, 0.749, 0.000], [0.130, 0.630, 0.500], [0.870, 0.370, 0.500], [0.500, 0.500, 0.000]]
}

4.
{
  "formula": "Cu3Ag5",
  "functional": "PBE",
  "state": "relaxed",
  "crystal_system": "monoclinic",
  "lattice": [[4.861, -2.848, 0.000], [4.861, 2.848, 0.000], [-1.533, 0.000, 4.578]],
  "species": ["Ag", "Ag", "Ag", "Ag", "Ag", "Cu", "Cu", "Cu"],
  "frac_coords": [[0.256, 0.744, 0.000], [0.000, 0.000, 0.500], [0.500, 0.000, 0.500], [0.744, 0.256, 0.000], [0.000, 0.500, 0.500], [0.747, 0.747, 0.992], [0.253, 0.253, 0.008], [0.500, 0.500, 0.500]]
}

5.
{
  "formula": "Cu5Ag3",
  "functional": "PBE",
  "state": "relaxed",
  "crystal_system": "monoclinic",
  "lattice": [[8.856, -1.367, 0.000], [8.856, 1.367, 0.000], [-0.371, 0.000, 4.701]],
  "species": ["Cu", "Cu", "Cu", "Cu", "Cu", "Ag", "Ag", "Ag"],
  "frac_coords": [[0.625, 0.625, 0.373], [0.244, 0.244, 0.273], [0.756, 0.756, 0.727], [0.000, 0.000, 0.500], [0.375, 0.375, 0.627], [0.500, 0.500, 0.000], [0.867, 0.867, 0.136], [0.133, 0.133, 0.864]]
}

6.
{
  "formula": "CuAg",
  "functional": "PBE",
  "state": "relaxed",
  "crystal_system": "orthorhombic",
  "lattice": [[2.825, 0.000, 0.000], [0.000, 3.641, 0.000], [0.000, 0.000, 11.612]],
  "species": ["Cu", "Cu", "Cu", "Cu", "Ag", "Ag", "Ag", "Ag"],
  "frac_coords": [[0.000, 0.000, 0.271], [0.500, 0.500, 0.624], [0.000, 0.000, 0.729], [0.500, 0.500, 0.376], [0.500, 0.500, 0.146], [0.500, 0.500, 0.854], [0.000, 0.000, 0.000], [0.000, 0.000, 0.500]]
}

7.
{
  "formula": "Cu3Ag4",
  "functional": "PBE",
  "state": "relaxed",
  "crystal_system": "orthorhombic",
  "lattice": [[-1.424, 1.861, 10.168], [1.424, -1.861, 10.168], [1.424, 1.861, -10.168]],
  "species": ["Ag", "Ag", "Ag", "Ag", "Cu", "Cu", "Cu"],
  "frac_coords": [[0.440, 0.440, 0.000], [0.138, 0.138, 0.000], [0.858, 0.858, 0.000], [0.278, 0.278, 0.000], [0.708, 0.708, 0.000], [0.570, 0.570, 0.000], [0.009, 0.009, 0.000]]
}

8.
{
  "formula": "CuAg2",
  "functional": "PBE",
  "state": "relaxed",
  "crystal_system": "monoclinic",
  "lattice": [[7.235, -1.438, 0.000], [7.235, 1.438, 0.000], [-4.908, 0.000, 6.923]],
  "species": ["Ag", "Ag", "Ag", "Ag", "Ag", "Ag", "Cu", "Cu", "Cu"],
  "frac_coords": [[0.656, 0.656, 0.995], [0.333, 0.333, 0.339], [0.005, 0.005, 0.331], [0.337, 0.337, 0.000], [0.340, 0.340, 0.671], [0.663, 0.663, 0.665], [0.000, 0.000, 0.669], [0.663, 0.663, 0.323], [0.004, 0.004, 0.007]]
}

9.
{
  "formula": "CuAg",
  "functional": "PBE",
  "state": "relaxed",
  "crystal_system": "monoclinic",
  "lattice": [[6.728, 0.000, 0.000], [0.000, 2.783, 0.000], [-2.391, 0.000, 6.306]],
  "species": ["Ag", "Ag", "Ag", "Ag", "Cu", "Cu", "Cu", "Cu"],
  "frac_coords": [[0.140, 0.500, 0.386], [0.885, 0.500, 0.642], [0.355, 0.500, 0.110], [0.742, 0.000, 0.237], [0.510, 0.000, 0.516], [0.270, 0.000, 0.752], [0.616, 0.500, 0.859], [0.982, 0.000, 0.999]]
}

10.
{
  "formula": "Cu4Ag5",
  "functional": "PBE",
  "state": "relaxed",
  "crystal_system": "trigonal",
  "lattice": [[-2.808, -0.086, -0.288], [1.222, -1.144, 2.274], [-1.526, 17.530, 9.641]],
  "species": ["Ag", "Ag", "Ag", "Ag", "Ag", "Cu", "Cu", "Cu", "Cu"],
  "frac_coords": [[0.667, 0.333, 0.459], [0.000, 0.000, 0.336], [0.667, 0.333, 0.090], [0.333, 0.667, 0.213], [0.000, 0.000, 0.678], [0.333, 0.667, 0.569], [0.000, 0.000, 0.981], [0.333, 0.667, 0.885], [0.667, 0.333, 0.788]]
}

11.
{
  "formula": "CuAg",
  "functional": "PBE",
  "state": "relaxed",
  "crystal_system": "orthorhombic",
  "lattice": [[-2.692, -2.184, -1.922], [-0.904, -5.858, 7.922], [-3.609, -3.165, 8.651]],
  "species": ["Cu", "Cu", "Cu", "Cu", "Cu", "Ag", "Ag", "Ag", "Ag", "Ag"],
  "frac_coords": [[0.000, 0.197, 0.197], [0.500, 0.505, 0.505], [0.500, 0.297, 0.297], [0.500, 0.094, 0.094], [0.000, 0.004, 0.004], [0.000, 0.798, 0.798], [0.000, 0.597, 0.597], [0.000, 0.406, 0.406], [0.500, 0.905, 0.905], [0.500, 0.696, 0.696]]
}

12.
{
  "formula": "CuAg",
  "functional": "PBE",
  "state": "relaxed",
  "crystal_system": "monoclinic",
  "lattice": [[9.105, -1.433, 0.000], [9.105, 1.433, 0.000], [-0.929, 0.000, 5.710]],
  "species": ["Ag", "Ag", "Ag", "Ag", "Ag", "Cu", "Cu", "Cu", "Cu", "Cu"],
  "frac_coords": [[0.686, 0.686, 0.091], [0.695, 0.695, 0.601], [0.305, 0.305, 0.399], [0.314, 0.314, 0.909], [0.500, 0.500, 0.000], [0.910, 0.910, 0.681], [0.090, 0.090, 0.772], [0.910, 0.910, 0.228], [0.500, 0.500, 0.500], [0.090, 0.090, 0.319]]
}

no.,formation energy from the elements (eV/atom),uncorrected energy (eV/atom)
1,0.083,-3.010
2,0.098,-3.284
3,0.094,-3.289
4,0.094,-3.065
5,0.102,-3.281
6,0.086,-3.185
7,0.086,-3.121
8,0.083,-3.039
9,0.097,-3.174
10,0.091,-3.130
11,0.096,-3.175
12,0.074,-3.197